4
Lattice="-3.040 8.651 1.252 -4.359 8.007 -1.595 -5.837 7.098 1.097" Properties=species:S:1:pos:R:3 comment="PBE Ca2OsPt, relaxed" ef_ev_per_fu=1.02 dos_ef_per_ev_cell=3.7 relative_energy_kj_per_mol_atoms=31.4 pbc="T T T"
Ca -13.206 23.705 0.753
Ca -6.646 11.930 0.379
Os -3.309 5.939 0.189
Pt -9.926 17.817 0.566